18
Lattice="-6.757 -2.759 2.424 0.354 -5.817 -5.634 5.788 1.041 5.120" Properties=species:S:1:pos:R:3 comment="CsDyNiF6 | Alexandria | PBE with a Hubbard U | optimized geometry" total_magnetization_mub_per_fu=1.992 total_energy_ev_per_cell=-95.98 pbc="T T T"
Cs -1.100 -5.582 2.779
Cs 0.486 -1.953 -0.869
Dy -3.201 -4.288 -1.605
Dy -3.378 -1.379 1.212
Ni -0.484 -0.859 3.772
Ni 2.894 0.521 2.560
F 2.243 -4.158 1.519
F -1.930 -1.854 4.709
F -4.221 -2.332 2.972
F -1.118 -4.894 -1.678
F -1.345 -1.158 1.940
F -3.993 -6.068 -0.646
F -2.857 -3.377 0.391
F 1.316 -5.681 -2.799
F 3.606 -5.203 -1.062
F 0.503 -2.641 3.588
F 0.730 -6.377 -0.030
F 3.379 -1.467 2.557